Entry one
This record from Alexandria describes LiNi3Ag after structural relaxation. The functional is PBE.

a = 3.999 Å, b = 3.999 Å, c = 3.999 Å
α = 90.00°, β = 90.00°, γ = 90.00°
Site moments in Bohr magnetons follow the coordinates.
Atoms (fractional coordinates):
Ni: 0.000 0.000 0.500  0.24
Ni: 0.500 0.000 0.000  0.17
Ni: 0.000 0.500 0.000  0.24
Li: 0.000 0.000 0.000  -0.01
Ag: 0.500 0.500 0.500  0.00

Properties
As for the space group: Pm-3m, No. 221. The density comes out at 7.6 g/cm3.

Entry two
This record from Alexandria describes LiNi3Ag after structural relaxation. The functional is PBE.

a = 4.696 Å, b = 4.696 Å, c = 4.696 Å
α = 90.00°, β = 90.00°, γ = 90.00°
Site moments in Bohr magnetons follow the coordinates.
Atoms (fractional coordinates):
Ni: 0.000 0.500 0.000  0.69
Ni: 0.500 0.000 0.000  0.44
Ni: 0.000 0.000 0.500  0.66
Ag: 0.000 0.000 0.000  0.03
Li: 0.500 0.500 0.500  -0.01

Properties
As for the space group: Pm-3m, No. 221. The density comes out at 4.7 g/cm3.

Stability ranking, top entry: entry one; the second entry is 480 meV per atom less favorable.

Entry one
This record from Alexandria describes Li3AgO after structural relaxation. The functional is PBE.

a = 3.991 Å, b = 3.991 Å, c = 3.991 Å
α = 90.00°, β = 90.00°, γ = 90.00°
Atoms (fractional coordinates):
O: 0.000 0.000 0.000
Ag: 0.500 0.500 0.500
Li: 0.500 0.000 0.000
Li: 0.000 0.500 0.000
Li: 0.000 0.000 0.500

Properties
As for the space group: Pm-3m, No. 221. The density comes out at 3.8 g/cm3.

Entry two
This record from Alexandria describes Li3AgO after structural relaxation. The functional is PBE.

a = 4.658 Å, b = 4.658 Å, c = 4.658 Å
α = 90.00°, β = 90.00°, γ = 90.00°
Atoms (fractional coordinates):
Ag: 0.000 0.000 0.000
Li: 0.000 0.000 0.500
Li: 0.500 0.000 0.000
Li: 0.000 0.500 0.000
O: 0.500 0.500 0.500

Properties
As for the space group: Pm-3m, No. 221. The density comes out at 2.4 g/cm3.

Stability ranking, top entry: entry one; the second entry is 1217 meV per atom less favorable.

Entry one
This record from Alexandria describes LiAgP2O after structural relaxation. The functional is PBE.

a = 4.809 Å, b = 4.809 Å, c = 3.213 Å
α = 90.00°, β = 90.00°, γ = 90.00°
Atoms (fractional coordinates):
P: 0.500 0.000 0.000
P: 0.000 0.500 0.000
Li: 0.000 0.000 0.000
Ag: 0.500 0.500 0.500
O: 0.000 0.000 0.500

Properties
As for the space group: P4/mmm, No. 123. The density comes out at 4.3 g/cm3.

Entry two
This record from Alexandria describes LiAgP2O after structural relaxation. The functional is PBE.

a = 4.879 Å, b = 4.879 Å, c = 4.108 Å
α = 90.00°, β = 90.00°, γ = 90.00°
Site moments in Bohr magnetons follow the coordinates.
Atoms (fractional coordinates):
P: 0.000 0.500 0.000  0.14
P: 0.500 0.000 0.000  0.14
O: 0.000 0.000 0.500  0.32
Ag: 0.000 0.000 0.000  -0.01
Li: 0.500 0.500 0.500  0.00

Properties
As for the space group: P4/mmm, No. 123. The density comes out at 3.3 g/cm3.

Stability ranking, top entry: entry one; the second entry is 192 meV per atom less favorable.

Entry one
This record from Alexandria describes LiAgPO2 after structural relaxation. The functional is PBE.

a = 4.123 Å, b = 4.123 Å, c = 4.880 Å
α = 90.00°, β = 90.00°, γ = 90.00°
Site moments in Bohr magnetons follow the coordinates.
Atoms (fractional coordinates):
O: 0.500 0.000 0.000  0.41
O: 0.000 0.500 0.000  0.41
Li: 0.500 0.500 0.500  0.01
Ag: 0.000 0.000 0.000  0.04
P: 0.000 0.000 0.500  0.43

Properties
As for the space group: P4/mmm, No. 123. The density comes out at 3.6 g/cm3.

Entry two
This record from Alexandria describes LiAgPO2 after structural relaxation. The functional is PBE.

a = 3.703 Å, b = 3.703 Å, c = 4.778 Å
α = 90.00°, β = 90.00°, γ = 90.00°
Site moments in Bohr magnetons follow the coordinates.
Atoms (fractional coordinates):
Ag: 0.500 0.500 0.500  0.05
P: 0.000 0.000 0.500  0.05
Li: 0.000 0.000 0.000  -0.02
O: 0.000 0.500 0.000  0.83
O: 0.500 0.000 0.000  0.83

Properties
As for the space group: P4/mmm, No. 123. The density comes out at 4.5 g/cm3.

Stability ranking, top entry: entry two; the second entry is 109 meV per atom less favorable.

Entry one
This record from Alexandria describes LiAg2SeO after structural relaxation. The functional is PBE.

a = 4.970 Å, b = 4.970 Å, c = 4.811 Å
α = 90.00°, β = 90.00°, γ = 90.00°
Site moments in Bohr magnetons follow the coordinates.
Atoms (fractional coordinates):
Ag: 0.500 0.000 0.000  -0.01
Ag: 0.000 0.500 0.000  -0.01
O: 0.500 0.500 0.500  -0.79
Li: 0.000 0.000 0.500  0.00
Se: 0.000 0.000 0.000  -0.01

Properties
As for the space group: P4/mmm, No. 123. The density comes out at 4.4 g/cm3.

Entry two
This record from Alexandria describes LiAg2SeO after structural relaxation. The functional is PBE.

a = 4.957 Å, b = 4.957 Å, c = 3.313 Å
α = 90.00°, β = 90.00°, γ = 90.00°
Atoms (fractional coordinates):
O: 0.000 0.000 0.500
Ag: 0.500 0.000 0.000
Ag: 0.000 0.500 0.000
Se: 0.500 0.500 0.500
Li: 0.000 0.000 0.000

Properties
As for the space group: P4/mmm, No. 123. The density comes out at 6.5 g/cm3.

Stability ranking, top entry: entry two; the second entry is 245 meV per atom less favorable.